No. 1
Here is crystalline K4GeO4 at its relaxed geometry from the Alexandria database. Energies are from GGA-PBE.

Cell lengths 10.600, 6.653, 10.661 Å; angles 90.00, 111.39, 90.00 degrees
Space group P2_1/c (No. 14)
Asymmetric unit:
K1 0.057 0.092 0.193 (multiplicity 4)
K2 0.161 0.606 0.088 (multiplicity 4)
K3 0.365 0.663 0.890 (multiplicity 4)
K4 0.429 0.192 0.798 (multiplicity 4)
Ge1 0.243 0.132 0.993 (multiplicity 4)
O1 0.081 0.244 0.967 (multiplicity 4)
O2 0.224 0.505 0.342 (multiplicity 4)
O3 0.300 0.530 0.639 (multiplicity 4)
O4 0.366 0.169 0.521 (multiplicity 4)

Calculated values
- raw total energy (eV for the cell shown) = -175.0
- mass density (kg/m3) = 2780
- energy above the most stable polymorph in this dataset (meV/atom) = 2



No. 2
Here is crystalline KGe3O at its relaxed geometry from the Alexandria database. Energies are from GGA-PBE.

Cell lengths 4.697, 4.697, 4.697 Å; angles 90.00, 90.00, 90.00 degrees
Space group Pm-3m (No. 221)
Asymmetric unit:
K1 0.000 0.000 0.000 (multiplicity 1)
Ge1 0.000 0.500 0.500 (multiplicity 3)
O1 0.500 0.500 0.500 (multiplicity 1)

Calculated values
- raw total energy (eV for the cell shown) = -19.5
- mass density (kg/m3) = 4376
- energy above the most stable polymorph in this dataset (meV/atom) = 0



Q: The highest raw total energy belongs to which entry?
A: KGe3O



Q: The highest mass density belongs to which entry?
A: KGe3O